[1]
Below is Ac2InNiPt6 after structural relaxation, with properties calculated at the GGA-PBE level.

calculated formation energy: -0.64 eV/atom

Cell lengths 5.7135, 5.7135, 25.1534 Å; angles 90.00, 90.00, 120.00 degrees
Space group R-3m (No. 166, hexagonal axes)
Asymmetric unit:
Ac 0.0000 0.0000 0.2029 x6
In 0.0000 0.0000 0.0000 x3
Ni 0.0000 0.0000 0.5000 x3
Pt 0.0026 0.5013 0.2455 x18

[2]
Below is ThAl11Pd after structural relaxation, with properties calculated at the GGA-PBE level.

calculated formation energy: -0.25 eV/atom

Cell lengths 5.2994, 12.7428, 7.1548 Å; angles 90.00, 109.57, 90.00 degrees
Space group C2/m (No. 12)
Asymmetric unit:
Th 0.0000 0.0000 0.0000 x2
Al 0.0000 0.0000 0.5000 x2
Al 0.1061 0.3913 0.2221 x8
Al 0.1694 0.1771 0.3550 x8
Al 0.2500 0.2500 0.0000 x4
Pd 0.0000 0.5000 0.5000 x2

[3]
Below is Sr3LiB after structural relaxation, with properties calculated at the GGA-PBE level.

calculated formation energy: 0.33 eV/atom
energy above the most stable polymorph in this dataset: 0.00 eV per formula unit

Cell lengths 5.7708, 5.7708, 5.7708 Å; angles 90.00, 90.00, 90.00 degrees
Space group Pm-3m (No. 221)
Asymmetric unit:
Sr 0.0000 0.0000 0.5000 x3
Li 0.5000 0.5000 0.5000 x1
B 0.0000 0.0000 0.0000 x1

[4]
Below is SiBiOsPd2 after structural relaxation, with properties calculated at the GGA-PBE level.

raw total energy: -5.14 eV/atom

Cell lengths 4.4496, 4.4496, 5.3460 Å; angles 90.00, 90.00, 90.00 degrees
Space group P4/mmm (No. 123)
Asymmetric unit:
Si 0.0000 0.0000 0.0000 x1
Bi 0.0000 0.0000 0.5000 x1
Os 0.5000 0.5000 0.5000 x1
Pd 0.0000 0.5000 0.0000 x2

[5]
Below is Ac2TiPdO6 after structural relaxation, with properties calculated at the GGA-PBE level.

raw total energy: -7.70 eV/atom

Cell lengths 5.7121, 5.7121, 4.4002 Å; angles 90.00, 90.00, 90.00 degrees
Space group P4mm (No. 99)
Asymmetric unit:
Ac 0.0000 0.5000 0.0000 x2
Ti 0.0000 0.0000 0.5429 x1
Pd 0.5000 0.5000 0.5841 x1
O 0.0000 0.0000 0.1257 x1
O 0.2330 0.2330 0.6399 x4
O 0.5000 0.5000 0.0906 x1

[6]
Below is K2AlBi2 after structural relaxation, with properties calculated at the GGA-PBE level.

calculated formation energy: -0.13 eV/atom
energy above the most stable polymorph in this dataset: 0.21 eV per formula unit

Cell lengths 4.5952, 4.5952, 39.5344 Å; angles 90.00, 90.00, 90.00 degrees
Space group I4_1/amd (No. 141, origin choice 2)
Asymmetric unit:
K 0.0000 0.2500 0.0483 x8
Al 0.0000 0.2500 0.8750 x4
Bi 0.0000 0.2500 0.1670 x8